Ho4CdAgRh2 after structural relaxation. Source: Alexandria, functional PBE.

Output
- Density of states at the Fermi level: 14.59 states/eV per cell
- DFT formation energy: -567 meV/atom
- Theoretical density: 10.2 g cm⁻³

Cell: 4.9970 4.9970 24.4816 Å, 90.00 90.00 120.00°
Space group R-3m (No. 166, hexagonal axes)
Unique sites:
Ho1 0.0000 0.0000 0.1228 [6 per cell]
Ho2 0.0000 0.0000 0.3731 [6 per cell]
Cd1 0.0000 0.0000 0.5000 [3 per cell]
Ag1 0.0000 0.0000 0.0000 [3 per cell]
Rh1 0.0000 0.0000 0.2493 [6 per cell]